(1)
The following is a DFT calculation (PBE) of a relaxed ZnRe2H2 crystal.

Cell: 5.4701 5.4701 5.4701 Å, 146.79 146.79 47.68°
Atoms (fractional coordinates):
Zn 0.0000 0.0000 0.0000
Re 0.3493 0.3493 0.0000
Re 0.6507 0.6507 0.0000
H 0.2500 0.7500 0.5000
H 0.7500 0.2500 0.5000

The value obtained for the volume is 49 Å³ per cell. The value obtained for the total energy is -6.211 eV per atom. The value obtained for the magnetic moment is 0.0 μB per cell. Its space group is No. 139. The mass density is 14.9 Mg/m³.


(2)
The following is a DFT calculation (PBE) of a relaxed Li3Y3ZrTe8 crystal.

Cell: 8.6562 8.6562 8.6562 Å, 59.46 59.46 59.46°
Atoms (fractional coordinates):
Li 0.0000 0.5000 0.5000
Li 0.5000 0.0000 0.5000
Li 0.5000 0.5000 0.0000
Y 0.0000 0.0000 0.5000
Y 0.0000 0.5000 0.0000
Y 0.5000 0.0000 0.0000
Zr 0.5000 0.5000 0.5000
Te 0.2527 0.2527 0.2527
Te 0.2570 0.2570 0.7381
Te 0.2570 0.7381 0.2570
Te 0.2619 0.7430 0.7430
Te 0.7381 0.2570 0.2570
Te 0.7430 0.2619 0.7430
Te 0.7430 0.7430 0.2619
Te 0.7473 0.7473 0.7473

The value obtained for the volume is 453 Å³ per cell. The value obtained for the energy relative to the elements, uncorrected is -1.2046 eV/atom. The value obtained for the magnetic moment is 0.0 μB per cell. Its space group is No. 166. The mass density is 5.1 Mg/m³.


(3)
The following is a DFT calculation (PBE) of a relaxed Y2TeBr crystal.

Cell: 8.6655 8.6655 8.6655 Å, 26.09 26.09 26.09°
Atoms (fractional coordinates):
Y 0.0000 0.0000 0.0000
Y 0.1704 0.1704 0.1704
Te 0.5849 0.5849 0.5849
Br 0.4180 0.4180 0.4180

The value obtained for the volume is 111 Å³ per cell. The value obtained for the energy relative to the elements, uncorrected is -1.0721 eV/atom. The value obtained for the magnetic moment is 0.4 μB per cell. Its space group is No. 160. The calculation puts the offset from the most stable computed form at 0.390 eV/f.u. The mass density is 5.8 Mg/m³.